The following is a DFT calculation (PBE) of crystalline U2Tl3IO9 at its relaxed geometry.

For the uncorrected formation energy, the calculation gives -1.7421 eV/atom. Its space-group type is P-3m1 (164). The value obtained for the density of states at the Fermi level is 7.2 states/eV/f.u. Its crystal system is trigonal. The total energy comes out at -101.98 eV per cell.

a = 6.097 Å, b = 6.097 Å, c = 7.907 Å
α = 90.00°, β = 90.00°, γ = 120.00°
Element x y z (fractional)
U: 0.333 0.667 0.160
U: 0.667 0.333 0.840
Tl: 0.000 0.000 0.000
Tl: 0.333 0.667 0.660
Tl: 0.667 0.333 0.340
I: 0.000 0.000 0.500
O: 0.000 0.500 0.000
O: 0.170 0.341 0.301
O: 0.170 0.830 0.301
O: 0.341 0.170 0.699
O: 0.500 0.000 0.000
O: 0.500 0.500 0.000
O: 0.659 0.830 0.301
O: 0.830 0.170 0.699
O: 0.830 0.659 0.699